Record 1
## Sm2AgSn3Pt4 (GGA-PBE)

Data for a geometry-optimized Sm2AgSn3Pt4 structure.

Cell and atoms, written as POSCAR:
```
Sm2AgSn3Pt4
1.0
4.2288 0.0000 0.0000
0.0000 4.2288 0.0000
0.0000 0.0000 12.1678
Sm Ag Sn Pt
2 1 3 4
Cartesian
2.1144 0.0000 3.2025
0.0000 2.1144 8.9654
2.1144 2.1144 6.0839
0.0000 0.0000 6.0839
2.1144 0.0000 10.5359
0.0000 2.1144 1.6320
2.1144 2.1144 0.0000
0.0000 0.0000 0.0000
2.1144 0.0000 7.9396
0.0000 2.1144 4.2283
```

## Properties
Formation energy from the elements: -0.729 eV/atom

Record 2
## AcPmCrN4 (GGA-PBE)

Data for a geometry-optimized AcPmCrN4 structure.

Cell and atoms, written as POSCAR:
```
AcPmCrN4
1.0
-4.0750 -0.4328 3.9898
-2.1350 -4.4777 -2.6663
5.6867 -3.9418 2.0661
Ac Pm Cr N
2 2 2 8
Cartesian
0.7810 -7.3322 2.7664
-1.3043 -1.5201 0.6232
-2.1851 -5.5285 2.1123
1.6617 -3.3238 1.2773
-0.7966 -4.6755 -0.4321
0.2733 -4.1769 3.8217
-0.7392 -5.5715 4.0850
-0.8214 -5.4562 -1.9907
0.2159 -3.2808 -0.6954
0.2981 -3.3961 5.3803
-2.4169 -4.1965 0.0609
1.8936 -4.6559 3.3286
-0.0982 -5.7132 0.7515
-0.4251 -3.1391 2.6381
```

## Properties
Formation energy from raw total energies: -1.090 eV per atom

Record 3
## ZrBe (GGA-PBE)

Data for a geometry-optimized ZrBe structure.

Cell and atoms, written as POSCAR:
```
ZrBe
1.0
1.5796 5.2128 -0.0431
-1.5796 5.2128 -0.0431
0.0000 2.0285 5.7873
Zr Be
3 3
Cartesian
0.0000 8.4613 3.4925
0.0000 11.2240 2.6131
0.0000 7.4807 0.4720
0.0000 2.0020 5.5539
0.0000 4.4349 1.1394
0.0000 5.8350 4.7824
```

## Properties
Formation energy from the elements: 0.025 eV/atom

Record 4
## GdCu2Sn2 (GGA-PBE)

Data for a geometry-optimized GdCu2Sn2 structure.

Cell and atoms, written as POSCAR:
```
GdCu2Sn2
1.0
4.4163 -0.0034 0.0236
-0.0034 4.4164 0.0237
0.0567 0.0575 10.7283
Gd Sn Cu
2 4 4
Cartesian
3.3093 3.3099 8.2065
1.1598 1.1605 2.5692
3.3482 1.1223 5.3875
1.0475 1.0481 9.3661
3.4215 3.4223 1.4095
1.1223 3.3486 5.3881
1.1397 1.1403 6.8628
3.3309 3.3306 3.9128
1.2869 3.2394 10.7515
3.1821 1.2309 0.0239
```

## Properties
Formation energy from the elements: -0.374 eV/atom

Record 5
## La2Tl3Bi3 (GGA-PBE)

Data for a geometry-optimized La2Tl3Bi3 structure.

Cell and atoms, written as POSCAR:
```
La2Tl3Bi3
1.0
-2.7863 -0.6674 4.2023
-0.1677 -4.8411 -0.8801
8.2085 -1.2381 5.2459
La Tl Bi
2 3 3
Cartesian
6.0963 -0.9195 3.8960
2.1122 -0.3186 1.3499
4.7408 -3.6921 5.6348
0.5137 -3.0545 2.9333
-1.3931 -0.3337 2.1011
2.7111 -0.9528 4.7241
-0.0839 -2.4205 -0.4400
4.0204 -3.0396 2.1829
```

## Properties
Formation energy from the elements: -0.502 eV/atom

Record 6
## NdLuSe (GGA-PBE)

Data for a geometry-optimized NdLuSe structure.

Cell and atoms, written as POSCAR:
```
NdLuSe
1.0
6.6503 0.0000 0.0000
0.0000 3.8705 0.0000
0.0000 -1.9352 3.3519
Lu Nd Se
1 1 1
Cartesian
0.3970 0.0000 0.0000
4.1160 1.9353 1.1173
2.1374 0.0000 2.2346
```

## Properties
Formation energy from raw total energies: -1.061 eV per atom

no.,raw total energy (Ha/atom)
1,-0.2049
2,-0.3119
3,-0.2246
4,-0.2363
5,-0.1498
6,-0.1954